A | Here is a geometry-optimized Zn2CdHg structure from the Alexandria database. Energies are from PBE-GGA.

Lattice parameters (Å, degrees): 4.8816 4.8816 4.8822 80.41 80.41 44.37
Closest atoms and distances in Å follow each position.
Element x y z (fractional)
Zn 0.4981 0.4981 0.5065  3 Cd 2.75-2.98, 3 Hg 2.76-3.02, 2 Zn 3.01
Zn 0.0019 0.0019 0.9935  3 Cd 2.75-2.98, 3 Hg 2.76-3.02, 2 Zn 3.01
Cd 0.7500 0.7500 0.7500  6 Zn 2.75-2.98, 4 Hg 3.06
Hg 0.2500 0.2500 0.2500  6 Zn 2.76-3.02, 4 Cd 3.06

Output
- volume (Å³/atom) = 20.007
- DOS at the Fermi energy (states/eV/cell) = 0.901

B | Here is a geometry-optimized Zn2CdHg structure from the Alexandria database. Energies are from PBE-GGA.

Lattice parameters (Å, degrees): 4.1512 4.3379 4.3379 90.00 90.00 90.00
Closest atoms and distances in Å follow each position.
Element x y z (fractional)
Zn 0.0000 0.5000 0.5000  4 Hg 3.00, 4 Cd 3.00, 4 Zn 3.07
Zn 0.0000 0.0000 0.0000  4 Hg 3.00, 4 Cd 3.00, 4 Zn 3.07
Cd 0.5000 0.5000 0.0000  8 Zn 3.00, 4 Hg 3.07
Hg 0.5000 0.0000 0.5000  8 Zn 3.00, 4 Cd 3.07

Output
- volume (Å³/atom) = 19.529
- DOS at the Fermi energy (states/eV/cell) = 1.836

Result of the stability comparison: B is the least stable of them.

A | Here is a geometry-optimized Zn2CdHg structure from the Alexandria database. Energies are from PBE-GGA.

Lattice parameters (Å, degrees): 9.4059 9.4059 9.4059 19.32 19.32 19.32
Closest atoms and distances in Å follow each position.
Element x y z (fractional)
Cd 0.5086 0.5086 0.5086  3 Zn 2.91, 6 Cd 3.16
Zn 0.2573 0.2573 0.2573  3 Zn 2.61, 3 Cd 2.91
Zn 0.9914 0.9914 0.9914  3 Zn 2.61
Hg 0.7428 0.7428 0.7428  3 Zn 2.97, 6 Hg 3.16, 3 Cd 3.29

Output
- volume (Å³/atom) = 19.898
- DOS at the Fermi energy (states/eV/cell) = 0.587

B | Here is a geometry-optimized Zn2CdHg structure from the Alexandria database. Energies are from PBE-GGA.

Lattice parameters (Å, degrees): 3.1702 3.1702 8.4859 90.00 90.00 105.79
Closest atoms and distances in Å follow each position.
Element x y z (fractional)
Zn 0.0000 0.0000 0.0004  2 Cd 2.85, 2 Hg 2.86, 4 Zn 3.17
Zn 0.0000 0.0000 0.4996  2 Cd 2.85, 2 Hg 2.86, 4 Zn 3.17
Cd 0.5000 0.5000 0.2500  4 Zn 2.85, 4 Cd 3.17
Hg 0.5000 0.5000 0.7500  4 Zn 2.86, 4 Hg 3.17

Output
- volume (Å³/atom) = 20.516
- DOS at the Fermi energy (states/eV/cell) = 1.493

C | Here is a geometry-optimized Zn2CdHg structure from the Alexandria database. Energies are from PBE-GGA.

Lattice parameters (Å, degrees): 5.2619 5.2619 5.2619 132.28 132.28 69.78
Closest atoms and distances in Å follow each position.
Element x y z (fractional)
Zn 0.0000 0.0000 0.0000  4 Cd 3.01, 4 Hg 3.03, 4 Zn 3.03
Zn 0.2500 0.7500 0.5000  4 Hg 3.01, 4 Zn 3.03, 4 Cd 3.03
Hg 0.7500 0.2500 0.5000  8 Zn 3.01-3.03, 4 Cd 3.03
Cd 0.5000 0.5000 0.0000  8 Zn 3.01-3.03, 4 Hg 3.03

Output
- volume (Å³/atom) = 19.550
- DOS at the Fermi energy (states/eV/cell) = 1.407

Result of the stability comparison: B is the least stable of them.

A | Here is a geometry-optimized Zn2CdHg structure from the Alexandria database. Energies are from PBE-GGA.

Lattice parameters (Å, degrees): 3.6857 3.6857 7.6575 76.07 76.07 60.00
Closest atoms and distances in Å follow each position.
Element x y z (fractional)
Zn 0.0822 0.0822 0.7533  3 Hg 2.79, 3 Cd 2.82
Zn 0.2511 0.2511 0.2467  3 Hg 2.80, 3 Cd 2.83
Cd 0.4996 0.4996 0.5012  6 Zn 2.82-2.83
Hg 0.6671 0.6671 0.9988  6 Zn 2.79-2.80

Output
- volume (Å³/atom) = 21.634
- DOS at the Fermi energy (states/eV/cell) = 0.746

B | Here is a geometry-optimized Zn2CdHg structure from the Alexandria database. Energies are from PBE-GGA.

Lattice parameters (Å, degrees): 6.1421 6.1421 6.1421 153.89 125.89 61.04
Closest atoms and distances in Å follow each position.
Element x y z (fractional)
Hg 0.2500 0.7500 0.5000  2 Hg 2.77, 4 Zn 3.00
Zn 0.9984 0.9984 0.0000  2 Zn 2.77, 2 Cd 2.97, 2 Hg 3.00
Zn 0.5016 0.5016 0.0000  2 Zn 2.77, 2 Cd 2.97, 2 Hg 3.00
Cd 0.7500 0.2500 0.5000  2 Cd 2.77, 4 Zn 2.97

Output
- volume (Å³/atom) = 20.506
- DOS at the Fermi energy (states/eV/cell) = 1.296

Result of the stability comparison: A is the least stable of them.

A | Here is a geometry-optimized Zn2CdHg structure from the Alexandria database. Energies are from PBE-GGA.

Lattice parameters (Å, degrees): 4.9103 3.2596 5.1298 96.27 90.00 90.00
Closest atoms and distances in Å follow each position.
Element x y z (fractional)
Hg 0.5000 0.7500 0.7500  4 Zn 2.81, 2 Cd 2.88
Zn 0.0000 0.6312 0.4849  2 Zn 2.61-2.75, 2 Hg 2.81
Zn 0.0000 0.8688 0.0151  2 Zn 2.61-2.75, 2 Hg 2.81
Cd 0.5000 0.2500 0.2500  4 Hg 2.88-3.19, 4 Zn 2.95

Output
- volume (Å³/atom) = 20.404
- DOS at the Fermi energy (states/eV/cell) = 1.240

B | Here is a geometry-optimized Zn2CdHg structure from the Alexandria database. Energies are from PBE-GGA.

Lattice parameters (Å, degrees): 3.5761 5.0968 4.4568 90.00 90.00 90.00
Closest atoms and distances in Å follow each position.
Element x y z (fractional)
Hg 0.0000 0.5000 0.5000  4 Zn 2.86, 4 Cd 3.11
Zn 0.5000 0.5000 0.0000  4 Hg 2.86, 4 Zn 3.11
Zn 0.0000 0.0000 0.0000  4 Cd 2.86, 4 Zn 3.11
Cd 0.5000 0.0000 0.5000  4 Zn 2.86, 4 Hg 3.11

Output
- volume (Å³/atom) = 20.308
- DOS at the Fermi energy (states/eV/cell) = 1.419

Result of the stability comparison: B is the least stable of them.

A | Here is a geometry-optimized Zn2CdHg structure from the Alexandria database. Energies are from PBE-GGA.

Lattice parameters (Å, degrees): 8.7642 8.7642 8.7642 21.77 21.77 21.77
Closest atoms and distances in Å follow each position.
Element x y z (fractional)
Cd 0.2500 0.2500 0.2500  6 Zn 2.87
Hg 0.7500 0.7500 0.7500  6 Zn 2.86
Zn 0.0003 0.0003 0.0003  3 Hg 2.86, 3 Cd 2.87
Zn 0.4997 0.4997 0.4997  3 Hg 2.86, 3 Cd 2.87

Output
- volume (Å³/atom) = 20.289
- DOS at the Fermi energy (states/eV/cell) = 1.543

B | Here is a geometry-optimized Zn2CdHg structure from the Alexandria database. Energies are from PBE-GGA.

Lattice parameters (Å, degrees): 4.8354 4.8354 4.8354 60.00 60.00 60.00
Closest atoms and distances in Å follow each position.
Element x y z (fractional)
Cd 0.5000 0.5000 0.5000  4 Hg 2.96, 4 Zn 2.96
Zn 0.0000 0.0000 0.0000  4 Zn 2.96, 4 Hg 2.96
Zn 0.2500 0.2500 0.2500  4 Cd 2.96, 4 Zn 2.96
Hg 0.7500 0.7500 0.7500  4 Cd 2.96, 4 Zn 2.96

Output
- volume (Å³/atom) = 19.986
- DOS at the Fermi energy (states/eV/cell) = 2.957

Result of the stability comparison: B is the least stable of them.

A | Here is a geometry-optimized Zn2CdHg structure from the Alexandria database. Energies are from PBE-GGA.

Lattice parameters (Å, degrees): 5.1413 5.1413 5.1413 129.73 129.73 73.84
Closest atoms and distances in Å follow each position.
Element x y z (fractional)
Hg 0.7500 0.2500 0.5000  8 Zn 3.00, 4 Cd 3.09
Zn 0.0000 0.0000 0.0000  4 Hg 3.00, 4 Cd 3.00, 4 Zn 3.09
Zn 0.5000 0.5000 0.0000  4 Cd 3.00, 4 Hg 3.00, 4 Zn 3.09
Cd 0.2500 0.7500 0.5000  8 Zn 3.00, 4 Hg 3.09

Output
- volume (Å³/atom) = 19.602
- DOS at the Fermi energy (states/eV/cell) = 1.195

B | Here is a geometry-optimized Zn2CdHg structure from the Alexandria database. Energies are from PBE-GGA.

Lattice parameters (Å, degrees): 6.4893 6.4893 6.4893 154.44 136.69 50.96
Closest atoms and distances in Å follow each position.
Element x y z (fractional)
Cd 0.5232 0.5232 0.0000  4 Zn 2.86, 2 Cd 2.87
Zn 0.9720 0.9720 0.0000  4 Zn 2.67-2.87, 4 Cd 2.86
Zn 0.7802 0.2802 0.5000  4 Zn 2.67-2.87, 4 Hg 2.87
Hg 0.2245 0.7245 0.5000  4 Zn 2.87, 2 Hg 2.87

Output
- volume (Å³/atom) = 20.134
- DOS at the Fermi energy (states/eV/cell) = 1.063

C | Here is a geometry-optimized Zn2CdHg structure from the Alexandria database. Energies are from PBE-GGA.

Lattice parameters (Å, degrees): 3.1009 3.1009 8.1923 90.00 90.00 90.00
Closest atoms and distances in Å follow each position.
Element x y z (fractional)
Cd 0.5000 0.5000 0.2500  8 Zn 2.98, 4 Cd 3.10
Zn 0.0000 0.0000 0.4969  4 Cd 2.98, 4 Hg 3.02, 4 Zn 3.10
Zn 0.0000 0.0000 0.0031  4 Cd 2.98, 4 Hg 3.02, 4 Zn 3.10
Hg 0.5000 0.5000 0.7500  8 Zn 3.02, 4 Hg 3.10

Output
- volume (Å³/atom) = 19.694
- DOS at the Fermi energy (states/eV/cell) = 1.591

Result of the stability comparison: C is the least stable of them.